The following is a PBE calculation of a relaxed structure of RbNpAg2I8, from Alexandria via LeMat-Bulk.

* total magnetic moment: 2.68 Bohr magnetons per cell
* energy relative to the elements, uncorrected: -539 meV per atom

abc: 9.007 9.007 9.007
angles: 106.30 106.30 116.01
Positions (direct):
1 Rb 0.000 0.000 0.000
2 Np 0.750 0.250 0.500
3 Ag 0.250 0.750 0.500
4 Ag 0.500 0.500 0.000
5 I 0.029 0.359 0.330
6 I 0.029 0.699 0.670
7 I 0.109 0.325 0.785
8 I 0.301 0.971 0.330
9 I 0.540 0.325 0.215
10 I 0.641 0.971 0.670
11 I 0.675 0.460 0.785
12 I 0.675 0.891 0.215